(1)
The following is a PBE-GGA calculation of crystalline LaBeSN2 at its relaxed geometry, from Alexandria.

```
5
Lattice="4.0458 0.0000 0.0000 0.0000 4.0458 0.0000 0.0000 0.0000 6.1820" Properties=species:S:1:pos:R:3 pbc="T T T"
La 0.0000 0.0000 0.0000
Be 2.0229 2.0229 3.0910
S 0.0000 0.0000 3.0910
N 0.0000 2.0229 0.0000
N 2.0229 0.0000 0.0000
```

Properties
* space group: No. 123
* relative energy among the computed polymorphs: 1197 meV/atom
* raw formation energy: 5.575 eV per formula unit

=====

(2)
The following is a PBE-GGA calculation of crystalline LaBeS2N at its relaxed geometry, from Alexandria.

```
5
Lattice="4.7462 0.0000 0.0000 0.0000 4.7462 0.0000 0.0000 0.0000 3.6133" Properties=species:S:1:pos:R:3 pbc="T T T"
La 0.0000 0.0000 0.0000
Be 2.3731 2.3731 1.8067
S 0.0000 2.3731 1.8067
S 2.3731 0.0000 1.8067
N 2.3731 2.3731 0.0000
```

Properties
* space group: No. 123
* relative energy among the computed polymorphs: 0 meV/atom
* raw formation energy: -3.261 eV per formula unit